(1)
Fe2CoMo SCAN PBEsol geometry; space-group type = Pm (6); DFT formation energy = 0.086 eV per atom
1.0
2.5158 0.0000 -0.0148
0.0000 4.0150 0.0000
-0.9349 0.0000 4.7133
Co Fe Mo
1 2 1
Cartesian
-0.1340 2.0075 3.5826 Co
2.4998 0.0000 -0.0102 Fe
1.7038 2.0075 1.1085 Fe
0.8175 0.0000 2.3522 Mo

***

(2)
Fe2CoMo SCAN PBEsol geometry; space-group type = I4/mmm (139); DFT formation energy = 0.192 eV per atom
1.0
3.5499 0.0000 0.0000
0.0000 3.5499 0.0000
-1.7750 -1.7750 3.6111
Co Fe Mo
1 2 1
Cartesian
0.0000 0.0000 0.0000 Co
1.7750 0.0000 1.8056 Fe
0.0000 1.7750 1.8056 Fe
1.7750 1.7750 0.0000 Mo

***

(3)
Fe2CoMo SCAN PBEsol geometry; space-group type = P4mm (99); DFT formation energy = 0.027 eV per atom
1.0
2.7935 0.0000 0.0000
0.0000 2.7935 0.0000
0.0000 0.0000 6.0773
Co Fe Mo
1 2 1
Cartesian
1.3968 1.3968 4.7094 Co
0.0000 0.0000 0.0056 Fe
1.3968 1.3968 1.3811 Fe
0.0000 0.0000 3.0198 Mo

***

(4)
Sr10Fe4CoMo5O30 SCAN PBEsol geometry; space-group type = I4/m (87); uncorrected formation energy = -2.55 eV/atom
1.0
7.6970 0.0000 0.0000
3.8485 8.6134 0.0000
3.8485 0.0000 8.6134
Sr Fe Co Mo O
10 4 1 5 30
Cartesian
9.6321 6.0373 0.8624 Sr
5.7727 4.3067 4.3067 Sr
1.9133 0.8624 2.5761 Sr
9.6103 7.7510 6.0373 Sr
9.6321 2.5761 7.7510 Sr
9.6212 4.3067 4.3067 Sr
5.7618 2.5761 7.7510 Sr
13.4806 7.7510 6.0373 Sr
5.7618 6.0373 0.8624 Sr
5.7836 0.8624 2.5761 Sr
11.5455 5.1639 6.8957 Fe
7.6970 1.7177 5.1639 Fe
7.6970 6.8957 3.4495 Fe
3.8485 3.4495 1.7177 Fe
0.0000 0.0000 0.0000 Co
11.5455 6.8807 3.4768 Mo
7.6970 5.1366 6.8807 Mo
3.8485 1.7327 5.1366 Mo
3.8485 0.0000 0.0000 Mo
7.6970 3.4768 1.7327 Mo
9.6310 3.4699 1.7280 O
5.7825 1.7280 5.1435 O
5.7825 6.8854 3.4699 O
9.6310 5.1435 6.8854 O
5.7449 0.0000 0.0000 O
9.6115 6.8854 3.4699 O
5.7630 5.1435 6.8854 O
9.6115 1.7280 5.1435 O
1.9521 0.0000 0.0000 O
5.7630 3.4699 1.7280 O
7.6970 1.7744 0.9007 O
11.5455 6.8738 7.7597 O
7.6970 3.4022 6.0233 O
7.6970 8.6129 4.2967 O
3.8485 5.1490 2.6058 O
3.8485 1.7396 0.8537 O
7.6970 6.8390 7.7128 O
11.5455 3.4644 6.0076 O
7.6970 0.0005 4.3167 O
7.6970 5.2112 2.5901 O
11.5455 4.3167 8.6129 O
7.6970 0.8537 6.8738 O
7.6970 6.0076 5.1490 O
3.8485 2.5901 3.4022 O
11.5455 7.7128 1.7744 O
7.6970 2.6058 3.4644 O
7.6970 7.7597 1.7396 O
3.8485 4.2967 0.0005 O
3.8485 0.9007 6.8390 O
11.5455 6.0233 5.2112 O

***

(5)
FeCoS2N SCAN PBEsol geometry; space-group type = P4/mmm (123); uncorrected formation energy = 0.53 eV/atom
1.0
-1.1128 2.0677 2.3324
-4.3005 -1.0713 -1.1021
0.0665 -3.4013 3.0469
S Co Fe N
2 1 1 1
Cartesian
0.0332 -1.7006 1.5235 S
-2.1502 -0.5357 -0.5511 S
0.0000 0.0000 0.0000 Co
-2.6734 -1.2025 2.1386 Fe
-0.5564 1.0338 1.1662 N

***

(6)
FeCo2WN SCAN PBEsol geometry; space-group type = P4/mmm (123); uncorrected formation energy = 0.27 eV/atom
1.0
-2.0471 1.5252 2.7286
0.8057 -2.8940 2.2222
3.0397 1.8173 1.2647
Co Fe W N
2 1 1 1
Cartesian
0.4028 -1.4470 1.1111 Co
-1.0236 0.7626 1.3643 Co
1.5199 0.9087 0.6324 Fe
0.8991 0.2243 3.1077 W
0.0000 0.0000 0.0000 N

***

Q: Which calculated density values were calculated for the entries above? A: 9.31 9.73 9.33 6.16 4.64 11.75, in g/cm³.